Density functional theory data (PBE) for a relaxed SiPbAu2 crystal.

```
SiPbAu2
1.0
2.899 -3.882 0.000
2.899 3.882 0.000
0.000 0.000 3.935
Si Pb Au
1 1 2
direct
0.000 0.000 0.000 Si
0.500 0.500 0.000 Pb
0.201 0.799 0.500 Au
0.799 0.201 0.500 Au
```

* crystal system: orthorhombic
* distance to the lowest polymorph of the same formula: 107 meV per atom
* final energy: -3.8125 eV/atom
* spin magnetization: 0.0 Bohr magnetons per cell
* DOS(E_F): 1.60 states/eV/f.u.